This record from the Open Quantum Materials Database describes crystalline LaGdNi at its relaxed geometry. The functional is PBE.

M_tot (μB/atom): 0.00
Energy (eV per cell): -15.40
Crystal system: cubic
DFT formation energy (eV per atom): -0.086

abc: 4.860 4.860 4.860
angles: 60.00 60.00 60.00
Element x y z (fractional)
La 0.000 0.000 0.000
Gd 0.500 0.500 0.500
Ni 0.750 0.750 0.750



This record from the Open Quantum Materials Database describes crystalline LaGdNi at its relaxed geometry. The functional is PBE.

M_tot (μB/atom): 0.01
Energy (eV per cell): -44.59
Crystal system: hexagonal
DFT formation energy (eV per atom): 0.093

abc: 7.511 7.511 4.465
angles: 90.00 90.00 120.00
Element x y z (fractional)
La 0.000 0.592 0.000
La 0.408 0.408 0.000
La 0.592 0.000 0.000
Gd 0.000 0.000 0.000
Gd 0.333 0.667 0.500
Gd 0.667 0.333 0.500
Ni 0.000 0.254 0.500
Ni 0.254 0.000 0.500
Ni 0.746 0.746 0.500



This record from the Open Quantum Materials Database describes crystalline LaGdNi2Pb at its relaxed geometry. The functional is PBE.

M_tot (μB/atom): 0.00
Energy (eV per cell): -26.84
Crystal system: orthorhombic

abc: 3.771 7.614 7.614
angles: 31.16 90.00 90.00
Element x y z (fractional)
La 0.000 0.000 0.000
Gd 0.000 0.278 0.278
Ni 0.500 0.434 0.434
Ni 0.500 0.838 0.838
Pb 0.500 0.645 0.645



This record from the Open Quantum Materials Database describes crystalline La2GdSi4Ni4 at its relaxed geometry. The functional is PBE.

M_tot (μB/atom): 0.00
Energy (eV per cell): -66.95
Crystal system: orthorhombic

abc: 12.235 12.235 12.235
angles: 160.88 160.83 27.20
Element x y z (fractional)
La 0.148 0.148 0.000
La 0.852 0.852 0.000
Gd 0.500 0.000 0.500
Si 0.050 0.550 0.500
Si 0.300 0.300 0.000
Si 0.700 0.700 0.000
Si 0.950 0.450 0.500
Ni 0.251 0.751 0.500
Ni 0.402 0.402 0.000
Ni 0.598 0.598 0.000
Ni 0.749 0.249 0.500



Q: Look up the energy of the third one.
A: -26.84 eV per cell